(1)
# GdYNi4Sn2

A relaxed structure of GdYNi4Sn2 (GGA-PBE, OQMD).

a b c (Å): 4.363 4.363 8.696
angles (deg): 90.00 90.00 120.00
Fractional positions:
Gd (0.000, 0.000, 0.000)
Y (0.667, 0.333, 0.500)
Ni (0.000, 0.000, 0.332)
Ni (0.000, 0.000, 0.668)
Ni (0.667, 0.333, 0.169)
Ni (0.667, 0.333, 0.831)
Sn (0.333, 0.667, 0.252)
Sn (0.333, 0.667, 0.748)

E   -45.6 eV/cell

=====

(2)
# Gd2YNi4Sn4

A relaxed structure of Gd2YNi4Sn4 (GGA-PBE, OQMD).

a b c (Å): 8.279 8.279 8.279
angles (deg): 149.08 130.06 59.90
Fractional positions:
Gd (0.132, 0.132, 0.000)
Gd (0.868, 0.868, 0.000)
Y (0.500, 0.000, 0.500)
Ni (0.132, 0.323, 0.809)
Ni (0.486, 0.677, 0.809)
Ni (0.514, 0.323, 0.191)
Ni (0.868, 0.677, 0.191)
Sn (0.205, 0.500, 0.705)
Sn (0.284, 0.784, 0.500)
Sn (0.716, 0.216, 0.500)
Sn (0.795, 0.500, 0.295)

E   -60.3 eV/cell

=====

(3)
# GdYNi2Sn4

A relaxed structure of GdYNi2Sn4 (GGA-PBE, OQMD).

a b c (Å): 4.458 9.534 9.534
angles (deg): 26.15 90.00 90.00
Fractional positions:
Gd (0.000, 0.000, 0.000)
Y (0.500, 0.780, 0.780)
Ni (0.000, 0.213, 0.213)
Ni (0.500, 0.568, 0.568)
Sn (0.000, 0.344, 0.344)
Sn (0.000, 0.638, 0.638)
Sn (0.500, 0.143, 0.143)
Sn (0.500, 0.436, 0.436)

E   -42.5 eV/cell

=====

(4)
# TbGdNi2

A relaxed structure of TbGdNi2 (GGA-PBE, OQMD).

a b c (Å): 4.286 5.433 5.433
angles (deg): 39.65 90.00 90.00
Fractional positions:
Tb (0.000, 0.000, 0.000)
Gd (0.500, 0.724, 0.724)
Ni (0.000, 0.289, 0.289)
Ni (0.500, 0.436, 0.436)

E   -22.2 eV/cell
Formation enthalpy at 0 K   -0.4346 eV/atom

=====

(5)
# TbGd2Ni9

A relaxed structure of TbGd2Ni9 (GGA-PBE, OQMD).

a b c (Å): 8.623 8.623 8.623
angles (deg): 33.41 33.41 33.41
Fractional positions:
Tb (0.000, 0.000, 0.000)
Gd (0.139, 0.139, 0.139)
Gd (0.861, 0.861, 0.861)
Ni (0.081, 0.582, 0.582)
Ni (0.333, 0.333, 0.333)
Ni (0.418, 0.418, 0.919)
Ni (0.418, 0.919, 0.418)
Ni (0.500, 0.500, 0.500)
Ni (0.582, 0.081, 0.582)
Ni (0.582, 0.582, 0.081)
Ni (0.667, 0.667, 0.667)
Ni (0.919, 0.418, 0.418)

E   -68.8 eV/cell
Formation enthalpy at 0 K   -0.3960 eV/atom

=====

(6)
# TbGdNi4

A relaxed structure of TbGdNi4 (GGA-PBE, OQMD).

a b c (Å): 5.068 5.068 5.068
angles (deg): 60.00 60.00 60.00
Fractional positions:
Tb (0.000, 0.000, 0.000)
Gd (0.250, 0.250, 0.250)
Ni (0.125, 0.625, 0.625)
Ni (0.625, 0.125, 0.625)
Ni (0.625, 0.625, 0.125)
Ni (0.625, 0.625, 0.625)

E   -34.1 eV/cell
Formation enthalpy at 0 K   -0.4262 eV/atom